{
  "formula": "ZrPaV2O8",
  "functional": "GGA+U",
  "state": "relaxed",
  "final_energy_ev_per_atom": -8.82,
  "spacegroup": "I-4 (82)",
  "cell": [[-2.556, 2.556, 5.350], [2.556, -2.556, 5.350], [2.556, 2.556, -5.350]],
  "species": ["Zr", "Pa", "V", "V", "O", "O", "O", "O", "O", "O", "O", "O"],
  "fractional_positions": [[0.000, 0.000, 0.000], [0.750, 0.250, 0.500], [0.250, 0.750, 0.500], [0.500, 0.500, 0.000], [0.063, 0.657, 0.035], [0.169, 0.216, 0.558], [0.343, 0.378, 0.406], [0.389, 0.831, 0.047], [0.622, 0.028, 0.965], [0.658, 0.611, 0.442], [0.784, 0.342, 0.953], [0.972, 0.937, 0.594]]
}